(1)
The following is a DFT calculation (PBE) of crystalline Tb2Ho6Co at its relaxed geometry.

Lattice parameters (Å, degrees): 9.6437 9.6437 3.5839 90.00 90.00 123.54
Positions (direct):
Tb 0.1698 0.8302 0.0000
Tb 0.8302 0.1698 0.0000
Ho 0.1667 0.4987 0.5000
Ho 0.2950 0.2950 0.0000
Ho 0.4987 0.1667 0.5000
Ho 0.5013 0.8333 0.5000
Ho 0.7050 0.7050 0.0000
Ho 0.8333 0.5013 0.5000
Co 0.5000 0.5000 0.5000

Values from the calculation:
ρ, g/cm3: 8.17
Space-group type: Cmmm, No. 65

=====

(2)
The following is a DFT calculation (PBE) of crystalline Er3GaC at its relaxed geometry.

Lattice parameters (Å, degrees): 5.2503 5.2503 5.2503 90.00 90.00 90.00
Positions (direct):
Er 0.0000 0.0000 0.5000
Er 0.0000 0.5000 0.0000
Er 0.5000 0.0000 0.0000
Ga 0.0000 0.0000 0.0000
C 0.5000 0.5000 0.5000

Values from the calculation:
ρ, g/cm3: 6.69
Space-group type: Pm-3m, No. 221

=====

no.,energy of formation from the pure elements (eV/atom),N(E_F) (states/eV per cell)
1,0.169,13.46
2,1.179,1.68